# PBE Ho2AlSn3, relaxed
# ΔH_f (0 K) (eV per atom): -0.220
data_Ho2AlSn3
_symmetry_space_group_name_H-M 'C m c m'
_symmetry_Int_Tables_number 63
_symmetry_space_group_name_Hall '-C 2c 2'
_cell_length_a 13.222
_cell_length_b 8.267
_cell_length_c 5.989
_cell_angle_alpha 90.00
_cell_angle_beta 90.00
_cell_angle_gamma 90.00
loop_
_atom_site_label
_atom_site_fract_x
_atom_site_fract_y
_atom_site_fract_z
_atom_site_occupancy
Ho1 0.133 0.180 0.250 1
Al1 0.000 0.479 0.750 1
Sn1 0.000 0.143 0.750 1
Sn2 0.192 0.500 0.000 1

# PBE NbC, relaxed
# E above lowest polymorph (meV per atom): 547
# ΔH_f (0 K) (eV per atom): 0.075
data_NbC
_symmetry_space_group_name_H-M 'A m m 2'
_symmetry_Int_Tables_number 38
_cell_length_a 3.143
_cell_length_b 9.374
_cell_length_c 6.044
_cell_angle_alpha 90.00
_cell_angle_beta 90.00
_cell_angle_gamma 90.00
loop_
_symmetry_equiv_pos_as_xyz
'x,y,z'
'-x,-y,z'
'-x,y,z'
'x,-y,z'
'x,y+1/2,z+1/2'
'-x,-y+1/2,z+1/2'
'-x,y+1/2,z+1/2'
'x,-y+1/2,z+1/2'
loop_
_atom_site_label
_atom_site_fract_x
_atom_site_fract_y
_atom_site_fract_z
_atom_site_occupancy
Nb1 0.000 0.000 0.000 1
Nb2 0.500 0.219 0.724 1
C1 0.000 0.244 0.969 1
C2 0.500 0.000 0.766 1

# PBE Mn2TcNi2, relaxed
# E above lowest polymorph (meV per atom): 0
# ΔH_f (0 K) (eV per atom): 0.159
data_Mn2TcNi2
_symmetry_space_group_name_H-M 'P 4/m b m'
_symmetry_Int_Tables_number 127
_symmetry_space_group_name_Hall '-P 4 2ab'
_cell_length_a 6.807
_cell_length_b 6.807
_cell_length_c 2.683
_cell_angle_alpha 90.00
_cell_angle_beta 90.00
_cell_angle_gamma 90.00
loop_
_atom_site_label
_atom_site_fract_x
_atom_site_fract_y
_atom_site_fract_z
_atom_site_occupancy
Mn1 0.172 0.328 0.000 1
Tc1 0.000 0.000 0.500 1
Ni1 0.126 0.626 0.500 1

# PBE LiLaTe2, relaxed
# Formation energy from raw total energies (eV per atom): -1.103
data_LiLaTe2
_symmetry_space_group_name_H-M 'I m m 2'
_symmetry_Int_Tables_number 44
_cell_length_a 4.465
_cell_length_b 4.474
_cell_length_c 11.515
_cell_angle_alpha 90.00
_cell_angle_beta 90.00
_cell_angle_gamma 90.00
loop_
_symmetry_equiv_pos_as_xyz
'x,y,z'
'-x,-y,z'
'-x,y,z'
'x,-y,z'
'x+1/2,y+1/2,z+1/2'
'-x+1/2,-y+1/2,z+1/2'
'-x+1/2,y+1/2,z+1/2'
'x+1/2,-y+1/2,z+1/2'
loop_
_atom_site_label
_atom_site_fract_x
_atom_site_fract_y
_atom_site_fract_z
_atom_site_occupancy
Li1 0.000 0.000 0.000 1
La1 0.000 0.500 0.250 1
Te1 0.000 0.000 0.502 1
Te2 0.000 0.500 0.752 1